1.
This record from Alexandria via LeMat-Bulk describes a relaxed structure of HfMgNb3. The functional is GGA-PBEsol.

Computed properties:
* magnetic moment: 0.0 μB per formula unit
* N(E_F): 1.30 states/eV per atom
* density: 6.87 g cm⁻³
* energy of formation: 143.2 kJ/mol of atoms

a = 4.8830 Å, b = 4.8830 Å, c = 4.8830 Å
α = 90.00°, β = 90.00°, γ = 90.00°
Closest atoms and distances in Å follow each position.
Space group Pm-3m (No. 221)
One atom of each set of equivalent atoms:
1 Hf 0.0000 0.0000 0.0000  6 Nb 2.44
2 Mg 0.5000 0.5000 0.5000  12 Nb 3.45
3 Nb 0.0000 0.0000 0.5000  2 Hf 2.44

2.
This record from Alexandria via LeMat-Bulk describes a relaxed structure of LaMg2Ni. The functional is GGA-PBEsol.

Computed properties:
* magnetic moment: 0.0 μB per formula unit
* N(E_F): 0.86 states/eV per atom
* density: 4.91 g cm⁻³
* energy of formation: 12.7 kJ/mol of atoms

a = 4.7163 Å, b = 4.7163 Å, c = 7.4902 Å
α = 90.00°, β = 90.00°, γ = 90.00°
Closest atoms and distances in Å follow each position.
Space group I4/mmm (No. 139)
One atom of each set of equivalent atoms:
1 La 0.0000 0.0000 0.0000  8 Mg 3.01, 4 Ni 3.33
2 Mg 0.0000 0.5000 0.2500  4 La 3.01, 4 Ni 3.01, 4 Mg 3.33
3 Ni 0.0000 0.0000 0.5000  8 Mg 3.01, 4 La 3.33

3.
This record from Alexandria via LeMat-Bulk describes a relaxed structure of Cr2AgOs. The functional is GGA-PBEsol.

Computed properties:
* magnetic moment: 0.0 μB per formula unit
* N(E_F): 1.10 states/eV per atom
* density: 12.45 g cm⁻³
* energy of formation: 46.3 kJ/mol of atoms

a = 2.6308 Å, b = 2.6308 Å, c = 7.7501 Å
α = 90.00°, β = 90.00°, γ = 90.00°
Closest atoms and distances in Å follow each position.
Space group P4mm (No. 99)
One atom of each set of equivalent atoms:
1 Cr 0.0000 0.0000 0.0000  8 Cr 2.54-2.63, 4 Ag 2.79
2 Cr 0.5000 0.5000 0.2239  4 Os 2.51, 8 Cr 2.54-2.63
3 Ag 0.5000 0.5000 0.7320  4 Ag 2.63, 4 Cr 2.79, 4 Os 2.92
4 Os 0.0000 0.0000 0.4419  4 Cr 2.51, 4 Os 2.63

4.
This record from Alexandria via LeMat-Bulk describes a relaxed structure of Rb3TaCl. The functional is GGA-PBEsol.

Computed properties:
* formation energy from raw total energies: 0.540 eV per atom
* magnetic moment: 5.0 μB per formula unit
* N(E_F): 1.57 states/eV per atom
* density: 3.38 g cm⁻³

a = 6.1501 Å, b = 6.1501 Å, c = 6.1501 Å
α = 90.00°, β = 90.00°, γ = 90.00°
Closest atoms and distances in Å follow each position.
Space group Pm-3m (No. 221)
One atom of each set of equivalent atoms:
1 Rb 0.0000 0.0000 0.5000  2 Cl 3.08
2 Ta 0.5000 0.5000 0.5000  12 Rb 4.35
3 Cl 0.0000 0.0000 0.0000  6 Rb 3.08

5.
This record from Alexandria via LeMat-Bulk describes a relaxed structure of SrReNi2. The functional is GGA-PBEsol.

Computed properties:
* magnetic moment: 2.4 μB per formula unit
* N(E_F): 1.66 states/eV per atom
* density: 10.11 g cm⁻³
* energy of formation: 85.6 kJ/mol of atoms

a = 6.3571 Å, b = 6.3571 Å, c = 6.3571 Å
α = 90.00°, β = 90.00°, γ = 90.00°
Closest atoms and distances in Å follow each position.
Space group Fm-3m (No. 225)
One atom of each set of equivalent atoms:
1 Sr 0.0000 0.0000 0.0000  8 Ni 2.75
2 Re 0.0000 0.0000 0.5000  8 Ni 2.75
3 Ni 0.2500 0.2500 0.2500  4 Re 2.75, 4 Sr 2.75

6.
This record from Alexandria via LeMat-Bulk describes a relaxed structure of TiAl3Sn. The functional is GGA-PBEsol.

Computed properties:
* magnetic moment: 1.1 μB per formula unit
* N(E_F): 0.71 states/eV per atom
* density: 3.39 g cm⁻³
* energy of formation: 70.6 kJ/mol of atoms

a = 4.9514 Å, b = 4.9514 Å, c = 4.9514 Å
α = 90.00°, β = 90.00°, γ = 90.00°
Closest atoms and distances in Å follow each position.
Space group Pm-3m (No. 221)
One atom of each set of equivalent atoms:
1 Ti 0.0000 0.0000 0.0000  6 Al 2.48
2 Al 0.0000 0.0000 0.5000  2 Ti 2.48
3 Sn 0.5000 0.5000 0.5000  12 Al 3.50

7.
This record from Alexandria via LeMat-Bulk describes a relaxed structure of NiPW. The functional is GGA-PBEsol.

Computed properties:
* magnetic moment: 0.0 μB per formula unit
* N(E_F): 0.63 states/eV per atom
* density: 12.55 g cm⁻³
* energy of formation: -42.2 kJ/mol of atoms

a = 5.7866 Å, b = 5.7866 Å, c = 3.7446 Å
α = 90.00°, β = 90.00°, γ = 120.00°
Closest atoms and distances in Å follow each position.
Space group P-62m (No. 189)
One atom of each set of equivalent atoms:
1 Ni 0.0000 0.7482 0.0000  4 P 2.20-2.37
2 P 0.0000 0.0000 0.5000  6 Ni 2.37, 3 W 2.40
3 P 0.3333 0.6667 0.0000  3 Ni 2.20
4 W 0.0000 0.4149 0.5000  5 P 2.40-2.56, 2 Ni 2.69

8.
This record from Alexandria via LeMat-Bulk describes a relaxed structure of P2RhBr. The functional is GGA-PBEsol.

Computed properties:
* formation energy from raw total energies: 0.648 eV per atom
* magnetic moment: 0.0 μB per formula unit
* N(E_F): 0.61 states/eV per atom
* density: 6.64 g cm⁻³

a = 6.2553 Å, b = 6.2553 Å, c = 6.2553 Å
α = 90.00°, β = 90.00°, γ = 90.00°
Closest atoms and distances in Å follow each position.
Space group Fm-3m (No. 225)
One atom of each set of equivalent atoms:
1 P 0.2500 0.2500 0.2500  4 Br 2.71, 4 Rh 2.71
2 Rh 0.0000 0.0000 0.0000  8 P 2.71
3 Br 0.0000 0.0000 0.5000  8 P 2.71

9.
This record from Alexandria via LeMat-Bulk describes a relaxed structure of K3Sr. The functional is GGA-PBEsol.

Computed properties:
* magnetic moment: 0.0 μB per formula unit
* N(E_F): 0.97 states/eV per atom
* density: 1.33 g cm⁻³
* energy of formation: 7.3 kJ/mol of atoms

a = 4.3104 Å, b = 4.3104 Å, c = 13.7334 Å
α = 90.00°, β = 90.00°, γ = 90.00°
Closest atoms and distances in Å follow each position.
Space group P4/mmm (No. 123)
One atom of each set of equivalent atoms:
1 K 0.0000 0.0000 0.0000  12 K 4.31-4.69
2 K 0.5000 0.5000 0.2597  8 K 4.31-4.69, 4 Sr 4.49
3 Sr 0.0000 0.0000 0.5000  4 Sr 4.31, 8 K 4.49

10.
This record from Alexandria via LeMat-Bulk describes a relaxed structure of Mg2GaGeBr. The functional is GGA-PBEsol.

Computed properties:
* formation energy from raw total energies: 0.194 eV per atom
* magnetic moment: 0.0 μB per formula unit
* N(E_F): 0.68 states/eV per atom
* density: 3.19 g cm⁻³

a = 5.0834 Å, b = 5.0834 Å, c = 5.4531 Å
α = 90.00°, β = 90.00°, γ = 90.00°
Closest atoms and distances in Å follow each position.
Space group P4/mmm (No. 123)
One atom of each set of equivalent atoms:
1 Mg 0.0000 0.5000 0.0000  2 Ge 2.54
2 Ga 0.0000 0.0000 0.5000  4 Br 3.59, 8 Mg 3.73
3 Ge 0.5000 0.5000 0.0000  4 Mg 2.54, 2 Br 2.73
4 Br 0.5000 0.5000 0.5000  2 Ge 2.73

11.
This record from Alexandria via LeMat-Bulk describes a relaxed structure of BaYBr2. The functional is GGA-PBEsol.

Computed properties:
* formation energy from raw total energies: -1.016 eV per atom
* magnetic moment: 0.0 μB per formula unit
* N(E_F): 0.99 states/eV per atom
* density: 4.48 g cm⁻³

a = 5.5200 Å, b = 5.5200 Å, c = 18.7709 Å
α = 90.00°, β = 90.00°, γ = 90.00°
Closest atoms and distances in Å follow each position.
Space group I-42d (No. 122)
One atom of each set of equivalent atoms:
1 Ba 0.0000 0.0000 0.0000  4 Br 3.24
2 Y 0.0000 0.0000 0.5000  4 Br 2.90
3 Br 0.1824 0.2500 0.6250  2 Y 2.90, 2 Ba 3.24

12.
This record from Alexandria via LeMat-Bulk describes a relaxed structure of Li7Hg. The functional is GGA-PBEsol.

Computed properties:
* magnetic moment: 0.0 μB per formula unit
* N(E_F): 0.48 states/eV per atom
* density: 2.91 g cm⁻³
* energy of formation: -13.6 kJ/mol of atoms

a = 8.2883 Å, b = 8.2883 Å, c = 8.2883 Å
α = 90.00°, β = 90.00°, γ = 90.00°
Closest atoms and distances in Å follow each position.
Space group Fm-3m (No. 225)
One atom of each set of equivalent atoms:
1 Li 0.0000 0.0000 0.0000  12 Li 2.93
2 Li 0.0000 0.2500 0.2500  2 Hg 2.93, 10 Li 2.93
3 Hg 0.0000 0.0000 0.5000  12 Li 2.93